(1)
Computed, not measured: a geometry-optimized Rb4Tb3ErTe8 structure at the PBE level of DFT.

Summary:
The uncorrected formation energy is -1.39 eV per atom. For the size of the total moment, the calculation gives 0.000 μB/atom.

Lattice parameters (Å, degrees): 10.0262 10.0262 10.0262 53.73 53.73 53.73
Closest atoms and distances in Å follow each position.
Sites, in units of the cell vectors:
Rb (0.0000, 0.0000, 0.0000)  6 Te 3.68
Rb (0.0000, 0.5000, 0.5000)  6 Te 3.66
Rb (0.5000, 0.0000, 0.5000)  6 Te 3.66
Rb (0.5000, 0.5000, 0.0000)  6 Te 3.66
Tb (0.0000, 0.0000, 0.5000)  6 Te 3.13
Tb (0.0000, 0.5000, 0.0000)  6 Te 3.13
Tb (0.5000, 0.0000, 0.0000)  6 Te 3.13
Er (0.5000, 0.5000, 0.5000)  6 Te 3.10
Te (0.2334, 0.2334, 0.2334)  3 Tb 3.13
Te (0.2356, 0.7317, 0.7317)  1 Er 3.10, 2 Tb 3.13
Te (0.2683, 0.2683, 0.7644)  1 Er 3.10, 2 Tb 3.13
Te (0.2683, 0.7644, 0.2683)  1 Er 3.10, 2 Tb 3.13
Te (0.7317, 0.2356, 0.7317)  1 Er 3.10, 2 Tb 3.13
Te (0.7317, 0.7317, 0.2356)  1 Er 3.10, 2 Tb 3.13
Te (0.7644, 0.2683, 0.2683)  1 Er 3.10, 2 Tb 3.13
Te (0.7666, 0.7666, 0.7666)  3 Tb 3.13

(2)
Computed, not measured: a geometry-optimized CaAl2Mo2 structure at the PBE level of DFT.

Summary:
As for the relative energy among the computed polymorphs: 0 meV per atom. For the size of the total moment, the calculation gives 0.000 μB/atom. For the density of states at the Fermi level, the calculation gives 2.8 states/eV/f.u. For the energy relative to the elements, the calculation gives -0.019 eV per atom.

Lattice parameters (Å, degrees): 8.1014 8.1014 2.7777 90.00 90.00 90.00
Closest atoms and distances in Å follow each position.
Sites, in units of the cell vectors:
Ca (0.0000, 0.0000, 0.0000)  2 Ca 2.78
Ca (0.5000, 0.5000, 0.0000)  2 Ca 2.78
Al (0.1811, 0.3189, 0.5000)  6 Mo 2.76-2.80, 2 Al 2.78
Al (0.3189, 0.8189, 0.5000)  6 Mo 2.76-2.80, 2 Al 2.78
Al (0.6811, 0.1811, 0.5000)  6 Mo 2.76-2.80, 2 Al 2.78
Al (0.8189, 0.6811, 0.5000)  6 Mo 2.76-2.80, 2 Al 2.78
Mo (0.1112, 0.6112, 0.0000)  3 Mo 2.55-2.78, 6 Al 2.76-2.80
Mo (0.3888, 0.1112, 0.0000)  3 Mo 2.55-2.78, 6 Al 2.76-2.80
Mo (0.6112, 0.8888, 0.0000)  3 Mo 2.55-2.78, 6 Al 2.76-2.80
Mo (0.8888, 0.3888, 0.0000)  3 Mo 2.55-2.78, 6 Al 2.76-2.80

(3)
Computed, not measured: a geometry-optimized RbLiNp2I8 structure at the PBE level of DFT.

Summary:
The uncorrected formation energy is -0.97 eV per atom. For the size of the total moment, the calculation gives 0.667 μB/atom. For the density of states at the Fermi level, the calculation gives 7.8 states/eV/f.u.

Lattice parameters (Å, degrees): 7.9881 7.9881 9.3429 90.00 90.00 120.00
Closest atoms and distances in Å follow each position.
Sites, in units of the cell vectors:
Rb (0.0000, 0.0000, 0.0000)  6 I 4.11
Li (0.0000, 0.0000, 0.5000)  6 I 2.99
Np (0.3333, 0.6667, 0.4098)  7 I 3.03-3.31
Np (0.6667, 0.3333, 0.5902)  7 I 3.03-3.31
I (0.0661, 0.3530, 0.6597)  1 Li 2.99, 2 Np 3.18-3.31
I (0.2870, 0.9339, 0.6597)  1 Li 2.99, 2 Np 3.18-3.31
I (0.3333, 0.6667, 0.0855)  1 Np 3.03
I (0.3530, 0.2870, 0.3403)  1 Li 2.99, 2 Np 3.18-3.31
I (0.6470, 0.7130, 0.6597)  1 Li 2.99, 2 Np 3.18-3.31
I (0.6667, 0.3333, 0.9145)  1 Np 3.03
I (0.7130, 0.0661, 0.3403)  1 Li 2.99, 2 Np 3.18-3.31
I (0.9339, 0.6470, 0.3403)  1 Li 2.99, 2 Np 3.18-3.31